Crystalline Co2RePO at its relaxed geometry, computed with PBE+U.

CIF file:
```
data_Co2RePO
_cell_length_a 4.469
_cell_length_b 4.469
_cell_length_c 3.287
_cell_angle_alpha 90.00
_cell_angle_beta 90.00
_cell_angle_gamma 90.00
_symmetry_space_group_name_H-M 'P 1'
_symmetry_Int_Tables_number 1
loop_
_symmetry_equiv_pos_as_xyz
'x,y,z'
loop_
_atom_site_label
_atom_site_type_symbol
_atom_site_fract_x
_atom_site_fract_y
_atom_site_fract_z
_atom_site_occupancy
Co1 Co 0.000 0.500 0.000 1
Co2 Co 0.500 0.000 0.000 1
Re1 Re 0.000 0.000 0.500 1
P1 P 0.500 0.500 0.000 1
O1 O 0.500 0.500 0.500 1
```

Summary:
As for the density: 8.9 g cm⁻³. For the final energy, the calculation gives -0.2135 Ha/atom. Its density of states at the Fermi level is 2.35 states/eV/cell.